# Sr6PuO12

A relaxed structure of Sr6PuO12 (GGA-PBE, Alexandria).

For the total energy, the calculation gives -6.75 eV/atom. As for the mass density: 5.0 g/cm3.

The structure belongs to space group R-3 (No. 148, hexagonal axes); the cell edges are 10.6171, 10.6171 and 9.8466 Å and the angles 90.00°, 90.00° and 120.00°. Symmetry generates all atoms from Sr at (0.0598, 0.4894, 0.3210), Pu at (0.0000, 0.0000, 0.0000), O at (0.0390, 0.1849, 0.8920) and O at (0.0570, 0.4931, 0.0413).